[1]
DFT (GGA-PBE) results for a relaxed structure of CeYGa2Pd2.

Lattice parameters (Å, degrees): 4.5343 4.5343 6.9006 90.00 90.00 120.00
With the nearest neighbours (Å) after each atom.
Space group P-3m1 (No. 164)
Inequivalent atoms, fractional coordinates:
1 Ce 0.0000 0.0000 0.0000 x1  6 Pd 3.17, 6 Ga 3.18, 2 Y 3.45
2 Y 0.0000 0.0000 0.5000 x1  6 Ga 3.10, 6 Pd 3.10, 2 Ce 3.45
3 Ga 0.3333 0.6667 0.2604 x2  3 Pd 2.62
4 Pd 0.3333 0.6667 0.7399 x2  3 Ga 2.62

DOS at the Fermi energy, states/eV per cell: 6.3
ΔH_f (0 K), kcal/mol of atoms: -18.74

[2]
DFT (GGA-PBE) results for a relaxed structure of Ce2Zn4Ga3Pd.

Lattice parameters (Å, degrees): 4.2673 4.2673 10.4626 90.00 90.00 90.00
With the nearest neighbours (Å) after each atom.
Space group P-4m2 (No. 115)
Inequivalent atoms, fractional coordinates:
1 Ce 0.0000 0.5000 0.2488 x2  6 Ga 3.25-3.37, 8 Zn 3.25-3.38, 2 Pd 3.37
2 Zn 0.0000 0.0000 0.5000 x1  4 Ga 2.56
3 Zn 0.0000 0.5000 0.8674 x2  3 Ga 2.43-2.55, 2 Pd 2.55
4 Zn 0.5000 0.5000 0.5000 x1  4 Ga 2.56
5 Ga 0.0000 0.0000 0.0000 x1  4 Zn 2.55
6 Ga 0.0000 0.5000 0.6355 x2  5 Zn 2.43-2.56
7 Pd 0.5000 0.5000 0.0000 x1  4 Zn 2.55

DOS at the Fermi energy, states/eV per cell: 14.0
ΔH_f (0 K), kcal/mol of atoms: -10.31

[3]
DFT (GGA-PBE) results for a relaxed structure of CeZnGa3Pd.

Lattice parameters (Å, degrees): 6.3394 12.0860 6.3168 90.00 90.00 90.00
With the nearest neighbours (Å) after each atom.
Space group Cmcm (No. 63)
Inequivalent atoms, fractional coordinates:
1 Ce 0.0000 0.2006 0.2500 x4  1 Zn 2.82
2 Zn 0.0000 0.4337 0.2500 x4  5 Ga 2.55-2.63, 1 Ce 2.82
3 Ga 0.0000 0.3487 0.7500 x4  1 Pd 2.53, 1 Zn 2.63
4 Ga 0.2114 0.0000 0.0000 x8  2 Zn 2.55, 2 Pd 2.67, 1 Ga 2.68
5 Pd 0.0000 0.1390 0.7500 x4  5 Ga 2.53-2.67

DOS at the Fermi energy, states/eV per cell: 31.6
ΔH_f (0 K), kcal/mol of atoms: -5.55

[4]
DFT (GGA-PBE) results for a relaxed structure of Ce2Zn3Ga4Pd.

Lattice parameters (Å, degrees): 4.2655 4.2655 10.5024 90.00 90.00 90.00
With the nearest neighbours (Å) after each atom.
Space group P-4m2 (No. 115)
Inequivalent atoms, fractional coordinates:
1 Ce 0.0000 0.5000 0.2482 x2  8 Ga 3.25-3.40, 6 Zn 3.25-3.37, 2 Pd 3.37
2 Zn 0.0000 0.0000 0.0000 x1  4 Ga 2.55
3 Zn 0.0000 0.5000 0.6352 x2  5 Ga 2.44-2.56
4 Ga 0.0000 0.0000 0.5000 x1  4 Zn 2.56
5 Ga 0.0000 0.5000 0.8674 x2  3 Zn 2.44-2.55, 2 Pd 2.55
6 Ga 0.5000 0.5000 0.5000 x1  4 Zn 2.56
7 Pd 0.5000 0.5000 0.0000 x1  4 Ga 2.55

DOS at the Fermi energy, states/eV per cell: 13.9
ΔH_f (0 K), kcal/mol of atoms: -11.46

- ΔH_f (0 K) of number 3 (CeZnGa3Pd)?
  -5.55 kcal/mol of atoms

- DOS at the Fermi energy of number 4 (Ce2Zn3Ga4Pd)?
  13.9 states/eV per cell

- Which of these has the highest DOS at the Fermi energy?
  CeZnGa3Pd